(1)
The following is a PBE-GGA calculation of Cu3BiP after structural relaxation, from Alexandria via LeMat-Bulk.

a b c (Å): 4.492 4.492 4.492
angles (deg): 90.00 90.00 90.00
Atoms (fractional coordinates):
Cu1 0.000 0.000 0.500
Cu2 0.000 0.500 0.000
Cu3 0.500 0.000 0.000
Bi1 0.500 0.500 0.500
P1 0.000 0.000 0.000

Results
ΔE to the lowest computed polymorph = 0 meV/atom
energy = -4.032 eV per atom
mass density = 7.89 g/cm³
formation energy = 0.28 eV/atom
crystal system = cubic
density of states at the Fermi level = 0.70 states/eV/atom

(2)
The following is a PBE-GGA calculation of LiCoRh2C after structural relaxation, from Alexandria via LeMat-Bulk.

a b c (Å): 4.039 4.039 3.761
angles (deg): 90.00 90.00 90.00
Atoms (fractional coordinates):
Li1 0.000 0.000 0.000
Co1 0.500 0.500 0.000
Rh1 0.000 0.500 0.500
Rh2 0.500 0.000 0.500
C1 0.500 0.500 0.500

Results
energy = -6.600 eV per atom
mass density = 7.68 g/cm³
formation energy = -0.01 eV/atom
crystal system = tetragonal
density of states at the Fermi level = 1.09 states/eV/atom

(3)
The following is a PBE-GGA calculation of DyThMgSn after structural relaxation, from Alexandria via LeMat-Bulk.

a b c (Å): 5.389 5.389 5.389
angles (deg): 60.00 60.00 60.00
Atoms (fractional coordinates):
Dy1 0.000 0.000 0.000
Th1 0.500 0.500 0.500
Mg1 0.250 0.250 0.250
Sn1 0.750 0.750 0.750

Results
energy = -4.662 eV per atom
mass density = 8.06 g/cm³
formation energy = -0.26 eV/atom
crystal system = cubic
density of states at the Fermi level = 0.73 states/eV/atom

(4)
The following is a PBE-GGA calculation of LiCe4Er3Se8 after structural relaxation, from Alexandria via LeMat-Bulk.

a b c (Å): 8.303 8.303 8.303
angles (deg): 58.94 58.94 58.94
Atoms (fractional coordinates):
Li1 0.000 0.000 0.000
Ce1 0.000 0.000 0.500
Ce2 0.000 0.500 0.000
Ce3 0.500 0.000 0.000
Ce4 0.500 0.500 0.500
Er1 0.000 0.500 0.500
Er2 0.500 0.000 0.500
Er3 0.500 0.500 0.000
Se1 0.241 0.241 0.748
Se2 0.241 0.748 0.241
Se3 0.252 0.759 0.759
Se4 0.255 0.255 0.255
Se5 0.745 0.745 0.745
Se6 0.748 0.241 0.241
Se7 0.759 0.252 0.759
Se8 0.759 0.759 0.252

Results
energy = -5.947 eV per atom
mass density = 7.15 g/cm³
crystal system = trigonal
density of states at the Fermi level = 1.55 states/eV/atom
formation energy without anion corrections = -27.94 eV/f.u.

(5)
The following is a PBE-GGA calculation of Pa5Se7 after structural relaxation, from Alexandria via LeMat-Bulk.

a b c (Å): 6.976 6.976 12.269
angles (deg): 103.83 103.83 32.32
Atoms (fractional coordinates):
Pa1 0.000 0.000 0.000
Pa2 0.133 0.133 0.435
Pa3 0.306 0.306 0.183
Pa4 0.694 0.694 0.817
Pa5 0.867 0.867 0.565
Se1 0.026 0.026 0.778
Se2 0.259 0.259 0.667
Se3 0.340 0.340 0.947
Se4 0.500 0.500 0.500
Se5 0.660 0.660 0.053
Se6 0.741 0.741 0.333
Se7 0.974 0.974 0.222

Results
energy = -7.216 eV per atom
mass density = 9.17 g/cm³
crystal system = monoclinic
density of states at the Fermi level = 1.78 states/eV/atom
formation energy without anion corrections = -14.73 eV/f.u.

(6)
The following is a PBE-GGA calculation of PmErBi after structural relaxation, from Alexandria via LeMat-Bulk.

a b c (Å): 5.216 5.216 4.061
angles (deg): 90.00 90.00 120.00
Atoms (fractional coordinates):
Pm1 0.000 0.000 0.000
Er1 0.333 0.667 0.471
Bi1 0.667 0.333 0.634

Results
ΔE to the lowest computed polymorph = 333 meV/atom
energy = -4.680 eV per atom
mass density = 9.05 g/cm³
formation energy = -0.28 eV/atom
crystal system = trigonal
density of states at the Fermi level = 1.17 states/eV/atom